Entry 1:
This record from the Alexandria database describes a relaxed structure of LiPm5Sn8. The functional is PBE-GGA.

```
LiPm5Sn8
1.0
-0.0263 -5.6776 5.6768
6.8235 4.1618 0.7617
-6.0929 5.1858 0.6676
Li Pm Sn
1 5 8
direct
0.2500 0.5000 0.7500
0.9830 0.3827 0.1267
0.8733 0.8563 0.2560
0.7440 0.6173 0.6004
0.5000 0.0000 0.5000
0.3996 0.1437 0.0170
0.1406 0.7557 0.0291
0.9709 0.1114 0.7266
0.8264 0.2536 0.4082
0.5918 0.4183 0.8454
0.4271 0.5817 0.1736
0.6152 0.8886 0.8594
0.2734 0.2443 0.3848
0.1546 0.7464 0.5729
```

crystal system	tetragonal
ΔE_f	-6.99	eV/f.u.

Entry 2:
This record from the Alexandria database describes a relaxed structure of LiPm4Sn5. The functional is PBE-GGA.

```
LiPm4Sn5
1.0
-0.6453 2.3534 -2.5595
-1.2486 -2.5864 -2.0633
-19.3755 3.1478 7.7789
Li Pm Sn
1 4 5
direct
0.0000 0.0000 0.0000
0.0000 0.0000 0.1794
0.0000 0.0000 0.3915
0.0000 0.0000 0.6085
0.0000 0.0000 0.8206
0.5000 0.5000 0.0749
0.5000 0.5000 0.2861
0.5000 0.5000 0.5000
0.5000 0.5000 0.7139
0.5000 0.5000 0.9251
```

crystal system	tetragonal
ΔE_f	-5.92	eV/f.u.

Entry 3:
This record from the Alexandria database describes a relaxed structure of LiPm3Sn. The functional is PBE-GGA.

```
LiPm3Sn
1.0
6.2017 -0.2671 -0.2973
-1.7398 9.7383 0.8390
-1.7398 -0.2065 9.7722
Li Pm Sn
4 12 4
direct
0.2500 0.0115 0.9885
0.7500 0.9885 0.0115
0.2500 0.7903 0.2097
0.7500 0.2097 0.7903
0.5229 0.3416 0.9788
0.9771 0.0212 0.6584
0.4771 0.6584 0.0212
0.0229 0.9788 0.3416
0.9518 0.7186 0.9019
0.5482 0.0981 0.2814
0.0482 0.2814 0.0981
0.4518 0.9019 0.7186
0.4564 0.4767 0.3292
0.0436 0.6708 0.5233
0.5436 0.5233 0.6708
0.9564 0.3292 0.4767
0.9277 0.5479 0.2061
0.5723 0.7939 0.4521
0.0723 0.4521 0.7939
0.4277 0.2061 0.5479
```

crystal system	monoclinic
ΔE_f	-1.11	eV/f.u.

Entry 4:
This record from the Alexandria database describes a relaxed structure of LiPmSn2. The functional is PBE-GGA.

```
LiPmSn2
1.0
-1.1237 3.1777 -1.2947
-3.0532 -0.3042 1.9032
3.1966 3.4441 5.6787
Li Sn Pm
1 2 1
direct
0.5000 0.5000 0.5000
0.0000 0.0000 0.7082
0.0000 0.0000 0.2918
0.5000 0.5000 0.0000
```

crystal system	tetragonal
ΔE_f	-1.99	eV/f.u.

Entry 5:
This record from the Alexandria database describes a relaxed structure of LiPm2Sn2. The functional is PBE-GGA.

```
LiPm2Sn2
1.0
6.4576 0.0000 0.0000
0.0000 6.6311 0.0000
-3.2288 -3.3156 6.5445
Li Pm Sn
2 4 4
direct
0.7500 0.5000 0.0000
0.2500 0.5000 0.0000
0.8627 0.6482 0.7254
0.1373 0.3518 0.2746
0.6373 0.9228 0.2746
0.3627 0.0772 0.7254
0.3822 0.6155 0.7644
0.6178 0.3845 0.2356
0.1178 0.8510 0.2356
0.8822 0.1490 0.7644
```

crystal system	orthorhombic
ΔE_f	-2.85	eV/f.u.
offset from the most stable computed form	0.099	eV per atom

Entry 6:
This record from the Alexandria database describes a relaxed structure of Li2Pm3Sn6. The functional is PBE-GGA.

```
Li2Pm3Sn6
1.0
-4.2198 -0.0742 -2.3849
2.2953 -1.4499 -4.0161
-0.6679 -10.8048 6.4447
Li Pm Sn
2 3 6
direct
0.4525 0.4525 0.9050
0.5475 0.5475 0.0950
0.0000 0.0000 0.0000
0.8125 0.8125 0.6250
0.1875 0.1875 0.3750
0.0960 0.5960 0.1921
0.5960 0.0960 0.1921
0.9040 0.4040 0.8079
0.4040 0.9040 0.8079
0.6841 0.6841 0.3682
0.3159 0.3159 0.6318
```

crystal system	tetragonal
ΔE_f	-4.87	eV/f.u.

Entry 7:
This record from the Alexandria database describes a relaxed structure of LiPm6Sn12. The functional is PBE-GGA.

```
LiPm6Sn12
1.0
8.3670 -0.2731 -0.3272
-1.5384 8.2288 -0.3272
-1.5384 -1.7924 8.0379
Li Pm Sn
1 6 12
direct
0.0000 0.0000 0.0000
0.8022 0.9100 0.5424
0.4576 0.1978 0.0900
0.0900 0.4576 0.1978
0.1978 0.0900 0.4576
0.5424 0.8022 0.9100
0.9100 0.5424 0.8022
0.7942 0.5018 0.4026
0.4026 0.7942 0.5018
0.5018 0.4026 0.7942
0.2058 0.4982 0.5974
0.5974 0.2058 0.4982
0.4982 0.5974 0.2058
0.8776 0.7458 0.1690
0.2542 0.8310 0.1224
0.8310 0.1224 0.2542
0.1224 0.2542 0.8310
0.7458 0.1690 0.8776
0.1690 0.8776 0.7458
```

crystal system	trigonal
ΔE_f	-8.97	eV/f.u.

Entry 8:
This record from the Alexandria database describes a relaxed structure of LiPm4Sn8. The functional is PBE-GGA.

```
LiPm4Sn8
1.0
-3.5591 -2.6182 0.0449
2.4330 -3.2746 1.9156
-4.2513 6.0493 15.7402
Li Pm Sn
1 4 8
direct
0.0000 0.0000 0.3180
0.0000 0.0000 0.0922
0.0000 0.5000 0.6075
0.5000 0.5000 0.3964
0.5000 0.0000 0.8963
0.0000 0.0000 0.4637
0.0000 0.5000 0.9321
0.5000 0.5000 0.0488
0.5000 0.0000 0.5756
0.0000 0.5000 0.2341
0.0000 0.0000 0.7505
0.5000 0.0000 0.2329
0.5000 0.5000 0.7549
```

crystal system	orthorhombic
ΔE_f	-8.08	eV/f.u.

Entry 9:
This record from the Alexandria database describes a relaxed structure of LiPmSn3. The functional is PBE-GGA.

```
LiPmSn3
1.0
4.7665 -0.0012 0.0000
0.0019 7.0718 0.0000
0.0000 0.0000 7.5297
Li Pm Sn
2 2 6
direct
0.7500 0.7500 0.4446
0.2500 0.2500 0.5554
0.7500 0.2500 0.2134
0.2500 0.7500 0.7866
0.7500 0.7500 0.0852
0.2500 0.2500 0.9148
0.7500 0.0455 0.6795
0.7500 0.4545 0.6795
0.2500 0.9545 0.3205
0.2500 0.5455 0.3205
```

crystal system	orthorhombic
ΔE_f	-1.72	eV/f.u.
offset from the most stable computed form	0.075	eV per atom

Entry 10:
This record from the Alexandria database describes a relaxed structure of Li2Pm3Sn4. The functional is PBE-GGA.

```
Li2Pm3Sn4
1.0
4.6469 0.0000 0.0000
-2.3235 5.7847 -0.1715
0.0000 -2.5765 8.5949
Li Pm Sn
2 3 4
direct
0.6810 0.3620 0.3581
0.3190 0.6380 0.6419
0.6357 0.2714 0.6859
0.0000 0.0000 0.0000
0.3643 0.7286 0.3141
0.7054 0.4108 0.0704
0.2946 0.5892 0.9296
0.9238 0.8476 0.6084
0.0762 0.1524 0.3916
```

crystal system	monoclinic
ΔE_f	-5.96	eV/f.u.

Entry 11:
This record from the Alexandria database describes a relaxed structure of LiPm3Sn12. The functional is PBE-GGA.

```
LiPm3Sn12
1.0
-2.0500 3.6369 2.1499
-2.9646 -2.9408 2.1480
12.3109 -1.7161 14.6414
Li Pm Sn
1 3 12
direct
0.0000 0.0000 0.0000
0.0000 0.0000 0.2514
0.0000 0.0000 0.5000
0.0000 0.0000 0.7486
0.5000 0.5000 0.0000
0.5000 0.5000 0.2437
0.5000 0.5000 0.5000
0.5000 0.5000 0.7563
0.5000 0.0000 0.1183
0.5000 0.0000 0.3736
0.5000 0.0000 0.6264
0.5000 0.0000 0.8817
0.0000 0.5000 0.1183
0.0000 0.5000 0.3736
0.0000 0.5000 0.6264
0.0000 0.5000 0.8817
```

crystal system	tetragonal
ΔE_f	-6.47	eV/f.u.

Entry 12:
This record from the Alexandria database describes a relaxed structure of LiPmSn. The functional is PBE-GGA.

```
LiPmSn
1.0
4.3037 0.0000 0.0000
0.0000 6.0943 -0.3606
0.0000 -0.8953 6.0389
Li Sn Pm
2 2 2
direct
0.0000 0.0000 0.0000
0.5000 0.5000 0.5000
0.0000 0.6918 0.6918
0.0000 0.3082 0.3082
0.5000 0.2059 0.7941
0.5000 0.7941 0.2059
```

crystal system	orthorhombic
ΔE_f	0.16	eV/f.u.
offset from the most stable computed form	0.715	eV per atom

Entry 13:
This record from the Alexandria database describes a relaxed structure of SrLi2Pm2Sn2. The functional is PBE-GGA.

```
SrLi2Pm2Sn2
1.0
4.9197 0.0000 0.0000
2.4599 4.2606 0.0000
2.4599 1.4202 9.6061
Sr Li Pm Sn
1 2 2 2
direct
0.0000 0.0000 0.0000
0.5866 0.5866 0.2403
0.4134 0.4134 0.7597
0.1307 0.1307 0.6079
0.8693 0.8693 0.3921
0.7458 0.7458 0.7627
0.2542 0.2542 0.2373
```

crystal system	trigonal
ΔE_f	-3.42	eV/f.u.

Entry 14:
This record from the Alexandria database describes a relaxed structure of LiPmTcSn. The functional is PBE-GGA.

```
LiPmTcSn
1.0
-0.8180 -4.3494 -1.9126
3.3437 -2.0767 -2.7842
2.4333 -3.8380 1.6105
Tc Li Sn Pm
1 1 1 1
direct
0.5000 0.5000 0.5000
0.0000 0.0000 0.0000
0.2500 0.2500 0.2500
0.7500 0.7500 0.7500
```

crystal system	cubic
ΔE_f	-0.44	eV/f.u.

Entry 15:
This record from the Alexandria database describes a relaxed structure of LiPmSnTe3. The functional is PBE-GGA.

```
LiPmSnTe3
1.0
4.2996 0.0000 0.0000
0.0000 9.2539 0.1948
0.0000 -2.2426 9.4772
Li Pm Sn Te
2 2 2 6
direct
0.2500 0.0901 0.5896
0.7500 0.9099 0.4104
0.2500 0.1742 0.2292
0.7500 0.8258 0.7708
0.2500 0.6640 0.1603
0.7500 0.3360 0.8397
0.7500 0.9088 0.1202
0.2500 0.0912 0.8798
0.2500 0.7822 0.5190
0.7500 0.2178 0.4810
0.7500 0.4094 0.1602
0.2500 0.5906 0.8398
```

crystal system	monoclinic

Entry 16:
This record from the Alexandria database describes a relaxed structure of LiPm2Sn3Te6. The functional is PBE-GGA.

```
LiPm2Sn3Te6
1.0
4.4273 0.0000 0.0000
0.0000 9.1345 0.1843
-2.2136 -2.7830 9.5049
Li Pm Sn Te
1 2 3 6
direct
0.5000 0.0000 0.0000
0.8333 0.6575 0.6666
0.1667 0.3425 0.3334
0.5000 0.5000 0.0000
0.8406 0.1524 0.6811
0.1594 0.8476 0.3189
0.3308 0.9067 0.6617
0.6678 0.5919 0.3355
0.6692 0.0933 0.3383
0.0026 0.2431 0.0051
0.9974 0.7569 0.9949
0.3322 0.4081 0.6645
```

crystal system	monoclinic

Entry 17:
This record from the Alexandria database describes a relaxed structure of LiPm2SnTe4. The functional is PBE-GGA.

```
LiPm2SnTe4
1.0
4.4088 0.0000 0.0000
0.0000 7.8835 -0.2580
0.0000 2.6720 7.1246
Li Pm Sn Te
1 2 1 4
direct
0.0000 0.5000 0.5000
0.0000 0.0000 0.0000
0.5000 0.0000 0.5000
0.5000 0.5000 0.0000
0.0000 0.7433 0.7456
0.0000 0.2567 0.2544
0.5000 0.7432 0.2564
0.5000 0.2568 0.7436
```

crystal system	monoclinic

Entry 18:
This record from the Alexandria database describes a relaxed structure of LiPmTmSn. The functional is PBE-GGA.

```
LiPmTmSn
1.0
5.2474 0.0000 0.0000
2.6237 4.5444 0.0000
2.6237 1.5148 4.2845
Tm Li Sn Pm
1 1 1 1
direct
0.5000 0.5000 0.5000
0.7500 0.7500 0.7500
0.2500 0.2500 0.2500
0.0000 0.0000 0.0000
```

crystal system	cubic
ΔE_f	-1.62	eV/f.u.

Entry 19:
This record from the Alexandria database describes a relaxed structure of Li2PmTm2Sn2. The functional is PBE-GGA.

```
Li2PmTm2Sn2
1.0
4.7976 0.0000 0.0000
2.3988 4.1548 0.0000
2.3988 1.3849 8.7983
Li Pm Tm Sn
2 1 2 2
direct
0.5893 0.5893 0.2320
0.4107 0.4107 0.7680
0.0000 0.0000 0.0000
0.1305 0.1305 0.6085
0.8695 0.8695 0.3915
0.7404 0.7404 0.7787
0.2596 0.2596 0.2213
```

crystal system	trigonal
ΔE_f	-3.16	eV/f.u.

Entry 20:
This record from the Alexandria database describes a relaxed structure of LiPmYSn. The functional is PBE-GGA.

```
LiPmYSn
1.0
5.2874 0.0000 0.0000
2.6437 4.5790 0.0000
2.6437 1.5263 4.3171
Y Li Sn Pm
1 1 1 1
direct
0.2500 0.2500 0.2500
0.0000 0.0000 0.0000
0.5000 0.5000 0.5000
0.7500 0.7500 0.7500
```

crystal system	cubic
ΔE_f	-1.81	eV/f.u.

Entry 21:
This record from the Alexandria database describes a relaxed structure of Li2PmY2Sn2. The functional is PBE-GGA.

```
Li2PmY2Sn2
1.0
-1.3031 -1.4222 4.3998
2.8273 -2.9731 2.4990
4.7958 5.5990 5.8529
Li Pm Y Sn
2 1 2 2
direct
0.5939 0.5939 0.2182
0.4061 0.4061 0.7818
0.0000 0.0000 0.0000
0.1295 0.1295 0.6114
0.8705 0.8705 0.3886
0.7389 0.7389 0.7834
0.2611 0.2611 0.2166
```

crystal system	trigonal
ΔE_f	-3.38	eV/f.u.

Entry 22:
This record from the Alexandria database describes a relaxed structure of LiPmZnSn. The functional is PBE-GGA.

```
LiPmZnSn
1.0
-1.7258 -0.4723 -4.7525
-3.5429 -3.4738 -1.0813
-4.7265 1.4642 -1.1423
Zn Li Sn Pm
1 1 1 1
direct
0.2500 0.2500 0.2500
0.0000 0.0000 0.0000
0.7500 0.7500 0.7500
0.5000 0.5000 0.5000
```

crystal system	cubic
ΔE_f	-1.72	eV/f.u.

Entry 23:
This record from the Alexandria database describes a relaxed structure of SrLi2Pm. The functional is PBE-GGA.

```
SrLi2Pm
1.0
5.6354 0.0000 0.0000
2.8177 4.8804 0.0000
2.8177 1.6268 4.6013
Sr Li Pm
1 2 1
direct
0.5000 0.5000 0.5000
0.2500 0.2500 0.2500
0.7500 0.7500 0.7500
0.0000 0.0000 0.0000
```

crystal system	cubic
ΔE_f	0.63	eV/f.u.
offset from the most stable computed form	0.034	eV per atom

Number 1: DFT total energy -0.3396 Ry per atom. Number 2: DFT total energy -0.3444 Ry per atom. Number 3: DFT total energy -0.3128 Ry per atom. Number 4: DFT total energy -0.3062 Ry per atom. Number 5: DFT total energy -0.3274 Ry per atom. Number 6: DFT total energy -0.3138 Ry per atom. Number 7: DFT total energy -0.3382 Ry per atom. Number 8: DFT total energy -0.3450 Ry per atom. Number 9: DFT total energy -0.2998 Ry per atom. Number 10: DFT total energy -0.3271 Ry per atom. Number 11: DFT total energy -0.3246 Ry per atom. Number 12: DFT total energy -0.2575 Ry per atom. Number 13: DFT total energy -0.2776 Ry per atom. Number 14: DFT total energy -0.3946 Ry per atom. Number 15: DFT total energy -0.3129 Ry per atom. Number 16: DFT total energy -0.3135 Ry per atom. Number 17: DFT total energy -0.3332 Ry per atom. Number 18: DFT total energy -0.3080 Ry per atom. Number 19: DFT total energy -0.3012 Ry per atom. Number 20: DFT total energy -0.3479 Ry per atom. Number 21: DFT total energy -0.3453 Ry per atom. Number 22: DFT total energy -0.2511 Ry per atom. Number 23: DFT total energy -0.1770 Ry per atom.